An optimized crystal structure of Ce2YIn4. Source: the Alexandria database, functional PBE-GGA.

Cell and atoms, written as POSCAR:
```
Ce2YIn4
1.0
-2.574 2.574 7.820
2.574 -2.574 7.820
2.574 2.574 -7.820
Ce Y In
2 1 4
Cartesian
0.000 0.000 3.914 Ce
0.000 0.000 11.726 Ce
0.000 0.000 0.000 Y
2.574 0.000 1.725 In
2.574 0.000 6.094 In
0.000 2.574 1.725 In
0.000 2.574 6.094 In
```

Properties
Density of states at the Fermi level   2.10 states/eV/atom
ΔE_f   -0.2442 eV per atom
Space-group type   I4/mmm
Calculated total energy   -4.428 eV/atom
E above lowest polymorph   0 meV per atom
Crystal system   tetragonal



An optimized crystal structure of CeYIn4. Source: the Alexandria database, functional PBE-GGA.

Cell and atoms, written as POSCAR:
```
CeYIn4
1.0
0.000 4.281 4.281
4.281 0.000 4.281
4.281 4.281 0.000
Ce Y In
1 1 4
Cartesian
0.000 0.000 0.000 Ce
6.421 6.421 6.421 Y
3.210 3.210 3.210 In
5.351 5.351 3.210 In
5.351 3.210 5.351 In
3.210 5.351 5.351 In
```

Properties
Density of states at the Fermi level   1.60 states/eV/atom
ΔE_f   -0.3255 eV per atom
Space-group type   F-43m
Calculated total energy   -4.217 eV/atom
Crystal system   cubic



An optimized crystal structure of CeY2In. Source: the Alexandria database, functional PBE-GGA.

Cell and atoms, written as POSCAR:
```
CeY2In
1.0
3.563 0.000 0.000
0.000 3.563 0.000
0.000 0.000 9.085
Ce Y In
1 2 1
Cartesian
0.000 0.000 0.000 Ce
1.781 1.781 2.444 Y
1.781 1.781 6.641 Y
0.000 0.000 4.543 In
```

Properties
Density of states at the Fermi level   1.38 states/eV/atom
ΔE_f   -0.2105 eV per atom
Space-group type   P4/mmm
Calculated total energy   -5.611 eV/atom
E above lowest polymorph   6 meV per atom
Crystal system   tetragonal



An optimized crystal structure of CeY5In6. Source: the Alexandria database, functional PBE-GGA.

Cell and atoms, written as POSCAR:
```
CeY5In6
1.0
-2.677 3.772 8.053
2.677 -3.772 8.053
2.677 3.772 -8.053
Ce Y In
1 5 6
Cartesian
0.000 0.000 0.000 Ce
2.677 0.000 2.622 Y
0.000 0.000 5.349 Y
0.000 3.772 0.000 Y
0.000 0.000 10.757 Y
0.000 3.772 5.431 Y
2.677 -1.846 5.322 In
2.677 1.966 0.000 In
0.000 1.925 2.731 In
2.677 1.846 5.322 In
0.000 1.806 8.053 In
0.000 5.618 2.731 In
```

Properties
Density of states at the Fermi level   0.96 states/eV/atom
ΔE_f   -0.4697 eV per atom
Space-group type   Immm
Calculated total energy   -5.027 eV/atom
Crystal system   orthorhombic



An optimized crystal structure of Ce2YIn3. Source: the Alexandria database, functional PBE-GGA.

Cell and atoms, written as POSCAR:
```
Ce2YIn3
1.0
3.432 0.000 0.000
0.000 3.432 0.000
0.000 0.000 13.832
Ce Y In
2 1 3
Cartesian
0.000 0.000 2.351 Ce
0.000 0.000 11.480 Ce
0.000 0.000 6.916 Y
1.716 1.716 0.000 In
1.716 1.716 4.685 In
1.716 1.716 9.147 In
```

Properties
Density of states at the Fermi level   2.15 states/eV/atom
ΔE_f   -0.4055 eV per atom
Space-group type   P4/mmm
Calculated total energy   -4.830 eV/atom
Crystal system   tetragonal



An optimized crystal structure of CeYIn. Source: the Alexandria database, functional PBE-GGA.

Cell and atoms, written as POSCAR:
```
CeYIn
1.0
-1.740 1.740 7.213
1.740 -1.740 7.213
1.740 1.740 -7.213
Ce Y In
1 1 1
Cartesian
0.000 0.000 0.000 Ce
0.000 0.000 9.960 Y
0.000 0.000 4.919 In
```

Properties
Density of states at the Fermi level   2.16 states/eV/atom
ΔE_f   -0.2173 eV per atom
Space-group type   I4mm
Calculated total energy   -5.263 eV/atom
E above lowest polymorph   102 meV per atom
Crystal system   tetragonal



An optimized crystal structure of CeY5In3. Source: the Alexandria database, functional PBE-GGA.

Cell and atoms, written as POSCAR:
```
CeY5In3
1.0
9.392 0.000 0.000
-4.696 8.134 0.000
0.000 0.000 6.732
Ce Y In
2 10 6
Cartesian
0.000 0.000 0.000 Ce
0.000 0.000 3.366 Ce
-1.527 2.645 1.683 Y
-3.169 5.489 5.049 Y
3.054 0.000 1.683 Y
1.527 2.645 5.049 Y
0.000 5.423 0.000 Y
0.000 5.423 3.366 Y
4.696 2.711 0.000 Y
4.696 2.711 3.366 Y
6.338 0.000 5.049 Y
3.169 5.489 1.683 Y
-1.609 2.787 5.049 In
-3.087 5.347 1.683 In
3.218 0.000 5.049 In
1.609 2.787 1.683 In
6.174 0.000 1.683 In
3.087 5.347 5.049 In
```

Properties
Density of states at the Fermi level   1.22 states/eV/atom
ΔE_f   -0.3703 eV per atom
Space-group type   P6_3/mcm
Calculated total energy   -5.534 eV/atom
Crystal system   hexagonal



An optimized crystal structure of CeYIn. Source: the Alexandria database, functional PBE-GGA.

Cell and atoms, written as POSCAR:
```
CeYIn
1.0
5.383 0.000 0.000
-2.692 4.662 0.000
0.000 0.000 3.212
Ce Y In
1 1 1
Cartesian
0.000 0.000 0.000 Ce
0.000 3.108 0.000 Y
2.692 1.554 1.606 In
```

Properties
Density of states at the Fermi level   2.30 states/eV/atom
ΔE_f   -0.0759 eV per atom
Space-group type   P-6m2
Calculated total energy   -5.121 eV/atom
E above lowest polymorph   243 meV per atom
Crystal system   hexagonal